1.
Below is a relaxed structure of Pm6ZnGe5, with properties calculated at the PBE level.

Unit cell a=7.506 b=13.152 c=7.220 alpha=90.00 beta=110.76 gamma=90.00
Space group C2/m (No. 12)
Asymmetric unit:
Pm 0.236 0.000 0.256 x4
Pm 0.237 0.175 0.737 x8
Zn 0.000 0.500 0.000 x2
Ge 0.000 0.000 0.500 x2
Ge 0.000 0.167 0.000 x4
Ge 0.000 0.344 0.500 x4

Computed properties:
* Fermi-level density of states: 0.794 states/eV/atom
* DFT formation energy: -7.26 eV/f.u.
* energy: -120.25 eV/cell

---

2.
Below is a relaxed structure of LiCa2SbPd6, with properties calculated at the PBE level.

Unit cell a=5.568 b=6.507 c=6.592 alpha=88.54 beta=65.04 gamma=65.07
Space group P-1 (No. 2)
Asymmetric unit:
Li 0.000 0.000 0.000 x1
Ca 0.256 0.249 0.239 x2
Sb 0.500 0.500 0.500 x1
Pd 0.185 0.809 0.318 x2
Pd 0.240 0.573 0.946 x2
Pd 0.308 0.190 0.682 x2

Computed properties:
* Fermi-level density of states: 0.489 states/eV/atom
* formation energy (no corrections): -48.6 kJ per mole of atoms
* energy: -46.23 eV/cell

---

3.
Below is a relaxed structure of LaCd3Ge, with properties calculated at the PBE level.

Unit cell a=5.234 b=5.234 c=5.234 alpha=90.00 beta=90.00 gamma=90.00
Space group Pm-3m (No. 221)
Asymmetric unit:
La 0.000 0.000 0.000 x1
Cd 0.000 0.500 0.500 x3
Ge 0.500 0.500 0.500 x1

Computed properties:
* Fermi-level density of states: 0.684 states/eV/atom
* DFT formation energy: 0.54 eV/f.u.
* energy: -11.75 eV/cell

---

4.
Below is a relaxed structure of Pm2ScZn, with properties calculated at the PBE level.

Unit cell a=3.4141 b=3.4141 c=35.1414 alpha=90.00 beta=90.00 gamma=120.00
Space group R-3m (No. 166, hexagonal axes)
Asymmetric unit:
Pm 0.0000 0.0000 0.0891 x6
Sc 0.0000 0.0000 0.5000 x3
Zn 0.0000 0.0000 0.0000 x3

Computed properties:
* Fermi-level density of states: 0.983 states/eV/atom
* DFT formation energy: 1.01 eV/f.u.
* energy: -48.29 eV/cell

---

5.
Below is a relaxed structure of K3LiBr4, with properties calculated at the PBE level.

Unit cell a=9.142 b=11.529 c=10.248 alpha=90.00 beta=90.00 gamma=90.00
Space group Pnma (No. 62)
Asymmetric unit:
K 0.043 0.038 0.219 x8
K 0.108 0.750 0.440 x4
Li 0.194 0.750 0.993 x4
Br 0.034 0.250 0.866 x4
Br 0.187 0.750 0.744 x4
Br 0.191 0.054 0.528 x8

Computed properties:
* Fermi-level density of states: 0.000 states/eV/atom
* formation energy (no corrections): -158.9 kJ per mole of atoms
* energy: -100.28 eV/cell

---

6.
Below is a relaxed structure of ZnAg3Hg, with properties calculated at the PBE level.

Unit cell a=9.864 b=8.000 c=6.707 alpha=90.00 beta=128.75 gamma=90.00
Space group C2/m (No. 12)
Asymmetric unit:
Zn 0.229 0.000 0.133 x4
Ag 0.064 0.500 0.359 x4
Ag 0.188 0.322 0.131 x8
Hg 0.066 0.000 0.353 x4

Computed properties:
* Fermi-level density of states: 0.289 states/eV/atom
* DFT formation energy: 0.74 eV/f.u.
* energy: -37.55 eV/cell